## i
# Nd4AgIr (PBE, relaxed)
data_Nd4AgIr
_chemical_formula_sum 'Nd16 Ag4 Ir4'
_symmetry_space_group_name_H-M 'C 1 2/c 1'
_symmetry_Int_Tables_number 15
_cell_length_a 8.972
_cell_length_b 13.794
_cell_length_c 6.178
_cell_angle_alpha 90.00
_cell_angle_beta 115.07
_cell_angle_gamma 90.00
loop_
_symmetry_equiv_pos_as_xyz
'x,y,z'
'-x,-y,-z'
'-x,y,-z+1/2'
'x,-y,z+1/2'
'x+1/2,y+1/2,z'
'-x+1/2,-y+1/2,-z'
'-x+1/2,y+1/2,-z+1/2'
'x+1/2,-y+1/2,z+1/2'
loop_
_atom_site_label
_atom_site_fract_x
_atom_site_fract_y
_atom_site_fract_z
_atom_site_occupancy
Nd1 0.114 0.181 0.075 1
Nd2 0.216 0.429 0.331 1
Ag1 0.000 0.378 0.750 1
Ir1 0.000 0.001 0.250 1
# Volume ... 692.51 Å³ per cell
# Mass density ... 8.41 g/cm3


## ii
# Nd4AgIr (PBE, relaxed)
data_Nd4AgIr
_chemical_formula_sum 'Nd64 Ag16 Ir16'
_symmetry_space_group_name_H-M 'F -4 3 m'
_symmetry_Int_Tables_number 216
_symmetry_space_group_name_Hall 'F -4 2 3'
_cell_length_a 13.979
_cell_length_b 13.979
_cell_length_c 13.979
_cell_angle_alpha 90.00
_cell_angle_beta 90.00
_cell_angle_gamma 90.00
loop_
_atom_site_label
_atom_site_fract_x
_atom_site_fract_y
_atom_site_fract_z
_atom_site_occupancy
Nd1 0.000 0.000 0.188 1
Nd2 0.060 0.250 0.750 1
Nd3 0.100 0.100 0.400 1
Ag1 0.169 0.169 0.169 1
Ir1 0.108 0.108 0.608 1
# Volume ... 2731.66 Å³ per cell
# Mass density ... 8.53 g/cm3


So which one is most stable? That would be ii, about 76 meV/atom below the next structure.


## i
# Nd6AgIr3 (PBE, relaxed)
data_Nd6AgIr3
_chemical_formula_sum 'Nd24 Ag4 Ir12'
_symmetry_space_group_name_H-M 'C m c 21'
_symmetry_Int_Tables_number 36
_cell_length_a 11.084
_cell_length_b 14.359
_cell_length_c 7.348
_cell_angle_alpha 90.00
_cell_angle_beta 90.00
_cell_angle_gamma 90.00
loop_
_symmetry_equiv_pos_as_xyz
'x,y,z'
'-x,-y,z+1/2'
'-x,y,z'
'x,-y,z+1/2'
'x+1/2,y+1/2,z'
'-x+1/2,-y+1/2,z+1/2'
'-x+1/2,y+1/2,z'
'x+1/2,-y+1/2,z+1/2'
loop_
_atom_site_label
_atom_site_fract_x
_atom_site_fract_y
_atom_site_fract_z
_atom_site_occupancy
Nd1 0.000 0.013 0.000 1
Nd2 0.000 0.229 0.338 1
Nd3 0.167 0.470 0.401 1
Nd4 0.180 0.280 0.957 1
Ag1 0.000 0.171 0.727 1
Ir1 0.000 0.400 0.120 1
Ir2 0.185 0.110 0.200 1
# Volume ... 1169.42 Å³ per cell
# Mass density ... 8.80 g/cm3


## ii
# Nd6AgIr3 (PBE, relaxed)
data_Nd6AgIr3
_chemical_formula_sum 'Nd12 Ag2 Ir6'
_symmetry_space_group_name_H-M 'P 1 21/m 1'
_symmetry_Int_Tables_number 11
_cell_length_a 11.962
_cell_length_b 4.260
_cell_length_c 12.077
_cell_angle_alpha 90.00
_cell_angle_beta 108.46
_cell_angle_gamma 90.00
loop_
_symmetry_equiv_pos_as_xyz
'x,y,z'
'-x,-y,-z'
'-x,y+1/2,-z'
'x,-y+1/2,z'
loop_
_atom_site_label
_atom_site_fract_x
_atom_site_fract_y
_atom_site_fract_z
_atom_site_occupancy
Nd1 0.043 0.250 0.406 1
Nd2 0.110 0.250 0.960 1
Nd3 0.205 0.750 0.267 1
Nd4 0.261 0.750 0.773 1
Nd5 0.370 0.250 0.548 1
Nd6 0.434 0.750 0.097 1
Ag1 0.430 0.250 0.301 1
Ir1 0.036 0.250 0.171 1
Ir2 0.199 0.750 0.512 1
Ir3 0.340 0.250 0.932 1
# Volume ... 583.80 Å³ per cell
# Mass density ... 8.82 g/cm3


So which one is most stable? That would be ii, about 70 meV/atom below the next structure.


## i
# NiAgIr3 (PBE, relaxed)
data_NiAgIr3
_chemical_formula_sum 'Ni1 Ag1 Ir3'
_symmetry_space_group_name_H-M 'P m -3 m'
_symmetry_Int_Tables_number 221
_symmetry_space_group_name_Hall '-P 4 2 3'
_cell_length_a 4.491
_cell_length_b 4.491
_cell_length_c 4.491
_cell_angle_alpha 90.00
_cell_angle_beta 90.00
_cell_angle_gamma 90.00
loop_
_atom_site_label
_atom_site_fract_x
_atom_site_fract_y
_atom_site_fract_z
_atom_site_occupancy
Ni1 0.000 0.000 0.000 1
Ag1 0.500 0.500 0.500 1
Ir1 0.000 0.000 0.500 1
# Volume ... 90.56 Å³ per cell
# Mass density ... 13.63 g/cm3


## ii
# NiAgIr3 (PBE, relaxed)
data_NiAgIr3
_chemical_formula_sum 'Ni1 Ag1 Ir3'
_symmetry_space_group_name_H-M 'P m -3 m'
_symmetry_Int_Tables_number 221
_symmetry_space_group_name_Hall '-P 4 2 3'
_cell_length_a 4.783
_cell_length_b 4.783
_cell_length_c 4.783
_cell_angle_alpha 90.00
_cell_angle_beta 90.00
_cell_angle_gamma 90.00
loop_
_atom_site_label
_atom_site_fract_x
_atom_site_fract_y
_atom_site_fract_z
_atom_site_occupancy
Ni1 0.000 0.000 0.000 1
Ag1 0.500 0.500 0.500 1
Ir1 0.000 0.500 0.500 1
# Volume ... 109.43 Å³ per cell
# Mass density ... 11.28 g/cm3


So which one is most stable? That would be i, about 1190 meV/atom below the next structure.


## i
# NiAgIr2 (PBE, relaxed)
data_NiAgIr2
_chemical_formula_sum 'Ni2 Ag2 Ir4'
_symmetry_space_group_name_H-M 'I m m 2'
_symmetry_Int_Tables_number 44
_cell_length_a 2.778
_cell_length_b 4.608
_cell_length_c 9.134
_cell_angle_alpha 90.00
_cell_angle_beta 90.00
_cell_angle_gamma 90.00
loop_
_symmetry_equiv_pos_as_xyz
'x,y,z'
'-x,-y,z'
'-x,y,z'
'x,-y,z'
'x+1/2,y+1/2,z+1/2'
'-x+1/2,-y+1/2,z+1/2'
'-x+1/2,y+1/2,z+1/2'
'x+1/2,-y+1/2,z+1/2'
loop_
_atom_site_label
_atom_site_fract_x
_atom_site_fract_y
_atom_site_fract_z
_atom_site_occupancy
Ni1 0.000 0.000 0.000 1
Ag1 0.000 0.500 0.751 1
Ir1 0.000 0.000 0.523 1
Ir2 0.000 0.500 0.266 1
# Volume ... 116.93 Å³ per cell
# Mass density ... 15.65 g/cm3


## ii
# NiAgIr2 (PBE, relaxed)
data_NiAgIr2
_chemical_formula_sum 'Ni2 Ag2 Ir4'
_symmetry_space_group_name_H-M 'C m m m'
_symmetry_Int_Tables_number 65
_symmetry_space_group_name_Hall '-C 2 2'
_cell_length_a 2.756
_cell_length_b 4.645
_cell_length_c 9.238
_cell_angle_alpha 90.00
_cell_angle_beta 90.00
_cell_angle_gamma 90.00
loop_
_atom_site_label
_atom_site_fract_x
_atom_site_fract_y
_atom_site_fract_z
_atom_site_occupancy
Ni1 0.000 0.000 0.000 1
Ag1 0.000 0.000 0.500 1
Ir1 0.000 0.500 0.228 1
# Volume ... 118.26 Å³ per cell
# Mass density ... 15.47 g/cm3


So which one is most stable? That would be ii, about 88 meV/atom below the next structure.


## i
# NiAgIr2 (PBE, relaxed)
data_NiAgIr2
_chemical_formula_sum 'Ni4 Ag4 Ir8'
_symmetry_space_group_name_H-M 'I -4 2 d'
_symmetry_Int_Tables_number 122
_symmetry_space_group_name_Hall 'I -4 2bw'
_cell_length_a 7.224
_cell_length_b 7.224
_cell_length_c 4.924
_cell_angle_alpha 90.00
_cell_angle_beta 90.00
_cell_angle_gamma 90.00
loop_
_atom_site_label
_atom_site_fract_x
_atom_site_fract_y
_atom_site_fract_z
_atom_site_occupancy
Ni1 0.000 0.000 0.000 1
Ag1 0.000 0.000 0.500 1
Ir1 0.198 0.750 0.125 1
# Volume ... 256.97 Å³ per cell
# Mass density ... 14.24 g/cm3


## ii
# NiAgIr2 (PBE, relaxed)
data_NiAgIr2
_chemical_formula_sum 'Ni4 Ag4 Ir8'
_symmetry_space_group_name_H-M 'F -4 3 m'
_symmetry_Int_Tables_number 216
_symmetry_space_group_name_Hall 'F -4 2 3'
_cell_length_a 6.163
_cell_length_b 6.163
_cell_length_c 6.163
_cell_angle_alpha 90.00
_cell_angle_beta 90.00
_cell_angle_gamma 90.00
loop_
_atom_site_label
_atom_site_fract_x
_atom_site_fract_y
_atom_site_fract_z
_atom_site_occupancy
Ni1 0.000 0.000 0.000 1
Ag1 0.250 0.250 0.250 1
Ir1 0.000 0.000 0.500 1
Ir2 0.250 0.250 0.750 1
# Volume ... 234.12 Å³ per cell
# Mass density ... 15.63 g/cm3


So which one is most stable? That would be ii, about 248 meV/atom below the next structure.


## i
# NiAgIr2 (PBE, relaxed)
data_NiAgIr2
_chemical_formula_sum 'Ni2 Ag2 Ir4'
_symmetry_space_group_name_H-M 'C m m m'
_symmetry_Int_Tables_number 65
_symmetry_space_group_name_Hall '-C 2 2'
_cell_length_a 5.332
_cell_length_b 8.045
_cell_length_c 2.706
_cell_angle_alpha 90.00
_cell_angle_beta 90.00
_cell_angle_gamma 90.00
loop_
_atom_site_label
_atom_site_fract_x
_atom_site_fract_y
_atom_site_fract_z
_atom_site_occupancy
Ni1 0.000 0.000 0.000 1
Ag1 0.000 0.500 0.000 1
Ir1 0.250 0.250 0.500 1
# Volume ... 116.05 Å³ per cell
# Mass density ... 15.77 g/cm3


## ii
# NiAgIr2 (PBE, relaxed)
data_NiAgIr2
_chemical_formula_sum 'Ni2 Ag2 Ir4'
_symmetry_space_group_name_H-M 'I 4/m m m'
_symmetry_Int_Tables_number 139
_symmetry_space_group_name_Hall '-I 4 2'
_cell_length_a 3.808
_cell_length_b 3.808
_cell_length_c 7.986
_cell_angle_alpha 90.00
_cell_angle_beta 90.00
_cell_angle_gamma 90.00
loop_
_atom_site_label
_atom_site_fract_x
_atom_site_fract_y
_atom_site_fract_z
_atom_site_occupancy
Ni1 0.000 0.000 0.000 1
Ag1 0.000 0.000 0.500 1
Ir1 0.000 0.500 0.250 1
# Volume ... 115.79 Å³ per cell
# Mass density ... 15.80 g/cm3


## iii
# NiAgIr2 (PBE, relaxed)
data_NiAgIr2
_chemical_formula_sum 'Ni1 Ag1 Ir2'
_symmetry_space_group_name_H-M 'P m m 2'
_symmetry_Int_Tables_number 25
_cell_length_a 2.743
_cell_length_b 3.795
_cell_length_c 5.615
_cell_angle_alpha 90.00
_cell_angle_beta 90.00
_cell_angle_gamma 90.00
loop_
_symmetry_equiv_pos_as_xyz
'x,y,z'
'-x,-y,z'
'-x,y,z'
'x,-y,z'
loop_
_atom_site_label
_atom_site_fract_x
_atom_site_fract_y
_atom_site_fract_z
_atom_site_occupancy
Ni1 0.000 0.000 0.000 1
Ag1 0.500 0.500 0.249 1
Ir1 0.000 0.000 0.547 1
Ir2 0.500 0.500 0.757 1
# Volume ... 58.46 Å³ per cell
# Mass density ... 15.65 g/cm3


So which one is most stable? That would be iii, about 185 meV/atom below the next structure.


## i
# NiAgIr2 (PBE, relaxed)
data_NiAgIr2
_chemical_formula_sum 'Ni1 Ag1 Ir2'
_symmetry_space_group_name_H-M 'P 4/m m m'
_symmetry_Int_Tables_number 123
_symmetry_space_group_name_Hall '-P 4 2'
_cell_length_a 3.802
_cell_length_b 3.802
_cell_length_c 4.002
_cell_angle_alpha 90.00
_cell_angle_beta 90.00
_cell_angle_gamma 90.00
loop_
_atom_site_label
_atom_site_fract_x
_atom_site_fract_y
_atom_site_fract_z
_atom_site_occupancy
Ni1 0.000 0.000 0.000 1
Ag1 0.500 0.500 0.000 1
Ir1 0.000 0.500 0.500 1
# Volume ... 57.85 Å³ per cell
# Mass density ... 15.82 g/cm3


## ii
# NiAgIr2 (PBE, relaxed)
data_NiAgIr2
_chemical_formula_sum 'Ni3 Ag3 Ir6'
_symmetry_space_group_name_H-M 'R -3 m'
_symmetry_Int_Tables_number 166
_symmetry_space_group_name_Hall '-R 3 2"'
_cell_length_a 2.7352
_cell_length_b 2.7352
_cell_length_c 26.8692
_cell_angle_alpha 90.00
_cell_angle_beta 90.00
_cell_angle_gamma 120.00
loop_
_atom_site_label
_atom_site_fract_x
_atom_site_fract_y
_atom_site_fract_z
_atom_site_occupancy
Ni1 0.0000 0.0000 0.0000 1
Ag1 0.0000 0.0000 0.5000 1
Ir1 0.0000 0.0000 0.2579 1
# Volume ... 174.08 Å³ per cell
# Mass density ... 15.77 g/cm3


So which one is most stable? That would be ii, about 210 meV/atom below the next structure.


## i
# NiAgIr2 (PBE, relaxed)
data_NiAgIr2
_chemical_formula_sum 'Ni2 Ag2 Ir4'
_symmetry_space_group_name_H-M 'C m m 2'
_symmetry_Int_Tables_number 35
_cell_length_a 2.722
_cell_length_b 4.709
_cell_length_c 9.255
_cell_angle_alpha 90.00
_cell_angle_beta 90.00
_cell_angle_gamma 90.00
loop_
_symmetry_equiv_pos_as_xyz
'x,y,z'
'-x,-y,z'
'-x,y,z'
'x,-y,z'
'x+1/2,y+1/2,z'
'-x+1/2,-y+1/2,z'
'-x+1/2,y+1/2,z'
'x+1/2,-y+1/2,z'
loop_
_atom_site_label
_atom_site_fract_x
_atom_site_fract_y
_atom_site_fract_z
_atom_site_occupancy
Ni1 0.000 0.000 0.000 1
Ag1 0.000 0.500 0.751 1
Ir1 0.000 0.000 0.477 1
Ir2 0.000 0.500 0.230 1
# Volume ... 118.63 Å³ per cell
# Mass density ... 15.42 g/cm3


## ii
# NiAgIr2 (PBE, relaxed)
data_NiAgIr2
_chemical_formula_sum 'Ni4 Ag4 Ir8'
_symmetry_space_group_name_H-M 'F m -3 m'
_symmetry_Int_Tables_number 225
_symmetry_space_group_name_Hall '-F 4 2 3'
_cell_length_a 6.142
_cell_length_b 6.142
_cell_length_c 6.142
_cell_angle_alpha 90.00
_cell_angle_beta 90.00
_cell_angle_gamma 90.00
loop_
_atom_site_label
_atom_site_fract_x
_atom_site_fract_y
_atom_site_fract_z
_atom_site_occupancy
Ni1 0.000 0.000 0.000 1
Ag1 0.000 0.000 0.500 1
Ir1 0.250 0.250 0.250 1
# Volume ... 231.75 Å³ per cell
# Mass density ... 15.79 g/cm3


So which one is most stable? That would be i, about 251 meV/atom below the next structure.